1.
The following is a DFT calculation (meta-GGA SCAN) of LiLa2Ir2 at its PBEsol-relaxed geometry. Values from VASP.

Cell and atoms, written as Quantum ESPRESSO input:
```
&SYSTEM
  ibrav = 0, nat = 10, ntyp = 3
/
ATOMIC_SPECIES
Li 6.94 Li.upf
La 138.91 La.upf
Ir 192.22 Ir.upf
ATOMIC_POSITIONS angstrom
Li 0.000 0.000 0.000
Li 3.842 3.842 0.000
La 1.244 2.598 1.899
La 2.598 6.440 1.899
La 5.087 1.244 1.899
La 6.440 5.087 1.899
Ir 1.062 4.904 0.000
Ir 2.780 1.062 0.000
Ir 4.904 6.622 0.000
Ir 6.622 2.780 0.000
CELL_PARAMETERS angstrom
7.684 0.000 0.000
0.000 7.684 0.000
0.000 0.000 3.798
```

Computed properties:
As for the space group: P4/mbm. The calculation puts the density of states at the Fermi level at 2.906 states/eV/f.u. As for the final energy: -46.7325 eV per atom.

2.
The following is a DFT calculation (meta-GGA SCAN) of LiLaIr4 at its PBEsol-relaxed geometry. Values from VASP.

Cell and atoms, written as Quantum ESPRESSO input:
```
&SYSTEM
  ibrav = 0, nat = 6, ntyp = 3
/
ATOMIC_SPECIES
Li 6.94 Li.upf
La 138.91 La.upf
Ir 192.22 Ir.upf
ATOMIC_POSITIONS angstrom
Li 0.000 0.000 0.000
La 5.604 5.604 5.604
Ir 2.799 2.799 2.799
Ir 4.673 4.673 2.799
Ir 4.673 2.799 4.673
Ir 2.799 4.673 4.673
CELL_PARAMETERS angstrom
0.000 3.736 3.736
3.736 0.000 3.736
3.736 3.736 0.000
```

Computed properties:
As for the space group: F-43m. The calculation puts the density of states at the Fermi level at 5.258 states/eV/f.u. As for the final energy: -55.4585 eV per atom.

3.
The following is a DFT calculation (meta-GGA SCAN) of LiLaIr at its PBEsol-relaxed geometry. Values from VASP.

Cell and atoms, written as Quantum ESPRESSO input:
```
&SYSTEM
  ibrav = 0, nat = 3, ntyp = 3
/
ATOMIC_SPECIES
Li 6.94 Li.upf
La 138.91 La.upf
Ir 192.22 Ir.upf
ATOMIC_POSITIONS angstrom
Li 0.000 0.000 0.000
La 1.541 1.541 1.541
Ir 4.623 4.623 4.623
CELL_PARAMETERS angstrom
0.000 3.082 3.082
3.082 0.000 3.082
3.082 3.082 0.000
```

Computed properties:
As for the energy above the most stable polymorph in this dataset: 35.1 meV per atom. As for the space group: F-43m. The calculation puts the density of states at the Fermi level at 1.078 states/eV/f.u.

4.
The following is a DFT calculation (meta-GGA SCAN) of LiLaIr2 at its PBEsol-relaxed geometry. Values from VASP.

Cell and atoms, written as Quantum ESPRESSO input:
```
&SYSTEM
  ibrav = 0, nat = 4, ntyp = 3
/
ATOMIC_SPECIES
Li 6.94 Li.upf
La 138.91 La.upf
Ir 192.22 Ir.upf
ATOMIC_POSITIONS angstrom
Li 0.000 0.000 0.000
La 1.759 1.759 4.064
Ir 0.000 0.000 2.374
Ir 1.759 1.759 1.388
CELL_PARAMETERS angstrom
3.518 0.000 0.000
0.000 3.518 0.000
0.000 0.000 6.052
```

Computed properties:
As for the space group: P4mm. The calculation puts the density of states at the Fermi level at 3.783 states/eV/f.u. As for the final energy: -46.8873 eV per atom.